# LaAsAuBrF, relaxed, DFT PBE
data_LaAsAuBrF
_cell_length_a 4.679
_cell_length_b 4.106
_cell_length_c 7.810
_cell_angle_alpha 90.00
_cell_angle_beta 90.65
_cell_angle_gamma 90.00
_space_group_name_H-M_alt 'P 1'
_space_group_IT_number 1
loop_
_space_group_symop_operation_xyz
'x,y,z'
loop_
_atom_site_label
_atom_site_type_symbol
_atom_site_fract_x
_atom_site_fract_y
_atom_site_fract_z
La1 La 0.139 0.000 0.449
Au1 Au 0.645 0.500 0.695
F1 F 0.137 0.500 0.332
Br1 Br 0.635 0.000 0.223
As1 As 0.147 0.500 0.806
# Relative energy among the computed polymorphs, eV/f.u.: 0.993
# DOS at the Fermi energy, states/eV/f.u.: 3.0
# Formation energy (no corrections), meV/atom: -1536